Sr2LiAl | PBE | optimized geometry

Cell: 9.0023 9.0023 7.2414 Å, 90.00 90.00 90.00°
Closest atoms and distances in Å follow each position.
Space group I-42d (No. 122)
Inequivalent atoms, fractional coordinates:
Sr: 0.2426 0.2500 0.1250  2 Al 3.26, 2 Li 3.35, 2 Sr 3.62
Li: 0.0000 0.0000 0.5000  4 Sr 3.35, 2 Al 3.62
Al: 0.0000 0.0000 0.0000  4 Sr 3.26, 2 Li 3.62

Calculated values
- calculated volume (Å³/atom) = 36.7
- energy of formation (meV/atom) = 246.2
- crystal system = tetragonal



Sr2Li2Al | PBE | optimized geometry

Cell: 5.0268 5.9802 9.9990 Å, 90.00 90.00 90.00°
Closest atoms and distances in Å follow each position.
Space group Immm (No. 71)
Inequivalent atoms, fractional coordinates:
Sr: 0.0000 0.0000 0.1959  6 Li 3.35-3.56, 2 Al 3.57
Li: 0.0000 0.2363 0.5000  2 Li 2.83-3.15, 2 Al 2.88
Al: 0.0000 0.5000 0.0000  4 Li 2.88

Calculated values
- calculated volume (Å³/atom) = 30.1
- energy of formation (meV/atom) = -65.9
- E above lowest polymorph (kJ/mol of formula units) = 1
- crystal system = orthorhombic



What is the formula in the first record? Sr2LiAl